Entry from Alexandria: crystalline CdB3Pb at its relaxed geometry (GGA-PBE).

As for the relative energy among the computed polymorphs: 285 meV per atom. As for the formation energy: 2368 meV per atom. The value obtained for the density is 5.58 Mg/m³. The electronic total energy is -2.563 eV/atom. The volume comes out at 20.97 A^3/atom.

abc: 4.715 4.715 4.715
angles: 90.00 90.00 90.00
Fractional coordinates of all 5 atoms:
Pb 0.000 0.000 0.000
B 0.000 0.500 0.000
B 0.000 0.000 0.500
B 0.500 0.000 0.000
Cd 0.500 0.500 0.500



Entry from Alexandria: crystalline TaInS2 at its relaxed geometry (GGA-PBE).

The value obtained for the density is 6.95 Mg/m³. Its uncorrected formation energy is -73.0 kJ per mole of atoms. The electronic total energy is -6.468 eV/atom. The volume comes out at 21.48 A^3/atom.

abc: 3.333 3.333 9.137
angles: 79.52 79.52 59.97
Fractional coordinates of all 4 atoms:
S 0.059 0.059 0.823
S 0.275 0.275 0.177
Ta 0.667 0.667 0.000
In 0.500 0.500 0.500



What is the volume in the first record?
20.97 A^3/atom